The following is a GGA-PBE calculation of an optimized crystal structure of PmHoEr14, from the Alexandria database.

```
PmHoEr14
1.0
-3.6444 1.3056 -5.9112
-2.9999 -3.6321 5.2667
-3.8310 9.6938 4.5030
Er Pm Ho
14 1 1
Direct
0.3750 0.6250 0.7502 Er
0.5417 0.4583 0.0000 Er
0.8753 0.1247 0.2483 Er
0.8752 0.6254 0.7520 Er
0.3750 0.6250 0.2498 Er
0.8753 0.1247 0.7517 Er
0.8752 0.6254 0.2480 Er
0.0422 0.4582 0.0000 Er
0.3746 0.1248 0.2480 Er
0.7080 0.7918 0.5000 Er
0.5418 0.9578 0.0000 Er
0.0419 0.9581 0.0000 Er
0.3746 0.1248 0.7520 Er
0.2082 0.2920 0.5000 Er
0.7081 0.2919 0.5000 Pm
0.2080 0.7920 0.5000 Ho
```

E_tot: -4.568 eV per atom
energy relative to the elements: 0.17 kcal/mol of atoms